# 1
Entry from Alexandria via LeMat-Bulk: a geometry-optimized DyMgGaHg structure (PBE).

Geometry as extended XYZ:
```
4
Lattice="-0.7669 4.6194 -1.7790 -4.3868 2.2886 0.7814 -0.2722 3.8843 3.1512" Properties=species:S:1:pos:R:3 pbc="T T T"
Mg 0.0000 0.0000 0.0000
Hg -4.0694 8.0942 1.6153
Ga -1.3565 2.6981 0.5384
Dy -2.7129 5.3961 1.0768
```

Computed properties:
The space group is F-43m, No. 216. The value obtained for the formation energy is -0.441 eV per atom.

---

# 2
Entry from Alexandria via LeMat-Bulk: a geometry-optimized Dy4GaHgN structure (PBE).

Geometry as extended XYZ:
```
14
Lattice="-0.5115 -0.9816 -6.6889 -5.7702 -3.4335 0.9451 -3.5271 6.6777 2.7258" Properties=species:S:1:pos:R:3 pbc="T T T"
Dy -4.8890 3.8694 -3.6300
Dy -7.4990 2.6118 0.1901
Dy -4.9197 -1.6067 0.6120
Dy -2.3097 -0.3491 -3.2082
Dy -4.9044 1.1313 -1.5090
Dy -1.7635 3.3389 1.3629
Dy -2.0193 2.8481 -1.9815
Dy -4.6486 1.6221 1.8354
Ga -2.3886 0.6890 0.0815
Ga -7.4201 1.5737 -3.0996
Hg -5.4781 -1.6025 -2.7820
Hg -4.3306 3.8652 -0.2361
N -6.2023 0.4910 0.4022
N -3.6064 1.7717 -3.4202
```

Computed properties:
For the electronic total energy, the calculation gives -5.0649 eV/atom. The space group is Cmcm, No. 63.

---

# 3
Entry from Alexandria via LeMat-Bulk: a geometry-optimized NaDyGaHg structure (PBE).

Geometry as extended XYZ:
```
4
Lattice="5.0914 0.0000 0.0000 2.5457 4.4093 0.0000 2.5457 1.4698 4.1571" Properties=species:S:1:pos:R:3 pbc="T T T"
Na 0.0000 0.0000 0.0000
Hg 7.6371 4.4093 3.1178
Ga 2.5457 1.4698 1.0393
Dy 5.0914 2.9395 2.0786
```

Computed properties:
The space group is F-43m, No. 216. The value obtained for the formation energy is -0.309 eV per atom.

---

# 4
Entry from Alexandria via LeMat-Bulk: a geometry-optimized NdDyGaHg structure (PBE).

Geometry as extended XYZ:
```
4
Lattice="5.2669 0.0000 0.0000 2.6334 4.5612 0.0000 2.6334 1.5204 4.3004" Properties=species:S:1:pos:R:3 pbc="T T T"
Nd 5.2669 3.0408 2.1502
Hg 7.9003 4.5612 3.2253
Ga 2.6334 1.5204 1.0751
Dy 0.0000 0.0000 0.0000
```

Computed properties:
The value obtained for the excess energy over the best structure of this formula in the dataset is 29 meV per atom. The space group is F-43m, No. 216. The value obtained for the formation energy is -0.498 eV per atom.

---

# 5
Entry from Alexandria via LeMat-Bulk: a geometry-optimized NdDy2Ga2Hg2 structure (PBE).

Geometry as extended XYZ:
```
7
Lattice="4.6651 0.0000 0.0000 2.3325 4.0401 0.0000 2.3325 1.3467 9.3926" Properties=species:S:1:pos:R:3 pbc="T T T"
Nd 0.0000 0.0000 0.0000
Dy 2.3325 1.3467 5.7463
Dy 6.9976 4.0401 3.6463
Ga 6.9976 4.0401 7.0083
Ga 2.3325 1.3467 2.3843
Hg 4.6651 2.6934 1.8473
Hg 4.6651 2.6934 7.5453
```

Computed properties:
The space group is R-3m, No. 166. The value obtained for the formation energy is -0.381 eV per atom.

---

# 6
Entry from Alexandria via LeMat-Bulk: a geometry-optimized NdDyGaHg structure (PBE).

Geometry as extended XYZ:
```
4
Lattice="3.6567 0.0000 0.0000 0.0000 3.6567 0.0000 0.0000 0.0000 7.6218" Properties=species:S:1:pos:R:3 pbc="T T T"
Nd 0.0000 0.0000 6.3997
Dy 0.0000 0.0000 2.8125
Ga 1.8284 1.8284 4.5304
Hg 1.8284 1.8284 0.9520
```

Computed properties:
The value obtained for the excess energy over the best structure of this formula in the dataset is 0 meV per atom. The space group is P4mm, No. 99. The value obtained for the formation energy is -0.527 eV per atom.